1.
Material: HfAlIrO2
Method: DFT, SCAN
State: single point on PBEsol structure

a b c (Å): 3.556 3.556 7.253
angles (deg): 90.00 90.00 90.00
Site moments in Bohr magnetons follow the coordinates.
Fractional coordinates of all 5 atoms:
Ir 0.500 0.500 0.500  -0.01
Hf 0.000 0.000 0.500  0.03
Al 0.000 0.000 0.000  -0.02
O 0.000 0.500 0.000  0.39
O 0.500 0.000 0.000  0.39

Output
Uncorrected formation energy: -0.832 eV/atom
DFT total energy: -31.6292 eV/atom
M_tot: 0.17 μB/atom
Symmetry: P4/mmm, No. 123

=====

2.
Material: KHf2AlTc
Method: DFT, SCAN
State: single point on PBEsol structure

a b c (Å): 4.574 4.574 4.782
angles (deg): 90.00 90.00 90.00
Site moments in Bohr magnetons follow the coordinates.
Fractional coordinates of all 5 atoms:
K 0.000 0.000 0.000  0.11
Hf 0.000 0.500 0.000  -0.01
Hf 0.500 0.000 0.000  -0.01
Tc 0.500 0.500 0.500  2.24
Al 0.000 0.000 0.500  -0.01

Output
DFT total energy: -32.8461 eV/atom
DFT formation energy: 2.451 eV per atom
M_tot: 0.46 μB/atom
Symmetry: P4/mmm, No. 123

=====

3.
Material: LaHf3Al
Method: DFT, SCAN
State: single point on PBEsol structure

a b c (Å): 5.028 5.028 5.028
angles (deg): 90.00 90.00 90.00
Fractional coordinates of all 5 atoms:
Hf 0.000 0.500 0.000
Hf 0.000 0.000 0.500
Hf 0.500 0.000 0.000
Al 0.500 0.500 0.500
La 0.000 0.000 0.000

Output
DFT total energy: -46.1941 eV/atom
DFT formation energy: 1.581 eV per atom
M_tot: 0.00 μB/atom
Symmetry: Pm-3m, No. 221

=====

4.
Material: LaHfZrAl2
Method: DFT, SCAN
State: single point on PBEsol structure

a b c (Å): 4.919 5.203 5.203
angles (deg): 90.00 90.00 90.00
Fractional coordinates of all 5 atoms:
Hf 0.000 0.000 0.000
Al 0.000 0.000 0.500
Al 0.000 0.500 0.000
Zr 0.500 0.000 0.000
La 0.500 0.500 0.500

Output
DFT total energy: -30.0354 eV/atom
DFT formation energy: 0.361 eV per atom
M_tot: 0.00 μB/atom
Symmetry: P4/mmm, No. 123

=====

5.
Material: LiHfAl3
Method: DFT, SCAN
State: single point on PBEsol structure

a b c (Å): 5.212 5.212 5.212
angles (deg): 90.00 90.00 90.00
Fractional coordinates of all 5 atoms:
Hf 0.000 0.000 0.000
Al 0.000 0.500 0.000
Al 0.000 0.000 0.500
Al 0.500 0.000 0.000
Li 0.500 0.500 0.500

Output
DFT total energy: -16.8502 eV/atom
DFT formation energy: 0.813 eV per atom
M_tot: 0.00 μB/atom
Symmetry: Pm-3m, No. 221

=====

6.
Material: LiHfAl2Pb
Method: DFT, SCAN
State: single point on PBEsol structure

a b c (Å): 4.609 5.140 5.140
angles (deg): 90.00 90.00 90.00
Fractional coordinates of all 5 atoms:
Pb 0.000 0.000 0.000
Hf 0.500 0.500 0.500
Al 0.000 0.000 0.500
Al 0.000 0.500 0.000
Li 0.500 0.000 0.000

Output
DFT total energy: -30.3267 eV/atom
DFT formation energy: 0.943 eV per atom
M_tot: 0.00 μB/atom
Symmetry: P4/mmm, No. 123

=====

7.
Material: HfMg16Al12
Method: DFT, SCAN
State: single point on PBEsol structure

a b c (Å): 8.741 9.110 9.110
angles (deg): 69.72 71.35 108.65
Fractional coordinates of all 29 atoms:
Hf 0.629 0.000 0.000
Mg 0.397 0.674 0.000
Mg 0.996 0.000 0.000
Mg 0.005 0.661 0.000
Mg 0.684 0.406 0.000
Mg 0.605 0.607 0.705
Mg 0.311 0.705 0.688
Mg 0.723 0.326 0.674
Mg 0.344 0.339 0.661
Mg 0.999 0.688 0.607
Mg 0.684 0.000 0.594
Mg 0.279 0.594 0.406
Mg 0.605 0.295 0.393
Mg 0.005 0.000 0.339
Mg 0.397 0.000 0.326
Mg 0.999 0.393 0.312
Mg 0.311 0.312 0.295
Al 0.191 0.364 0.000
Al 0.378 0.181 0.000
Al 0.810 0.820 0.823
Al 0.991 0.357 0.820
Al 0.378 0.000 0.819
Al 0.991 0.180 0.643
Al 0.191 0.000 0.636
Al 0.827 0.636 0.364
Al 0.633 0.823 0.357
Al 0.196 0.819 0.181
Al 0.810 0.177 0.180
Al 0.633 0.643 0.177

Output
DFT total energy: -8.1469 eV/atom
DFT formation energy: -0.034 eV per atom
M_tot: 0.00 μB/atom
Symmetry: R3m, No. 160

=====

8.
Material: HfMgAl3
Method: DFT, SCAN
State: single point on PBEsol structure

a b c (Å): 4.765 4.765 4.765
angles (deg): 90.00 90.00 90.00
Fractional coordinates of all 5 atoms:
Mg 0.000 0.000 0.000
Hf 0.500 0.500 0.500
Al 0.000 0.500 0.000
Al 0.000 0.000 0.500
Al 0.500 0.000 0.000

Output
Offset from the most stable computed form: 162 meV per atom
DFT total energy: -17.1256 eV/atom
DFT formation energy: 1.055 eV per atom
M_tot: 0.00 μB/atom
Symmetry: Pm-3m, No. 221